No. 1
Material: ZrRh3O
Method: DFT, meta-GGA SCAN
State: single point on PBEsol structure

a = 4.0995 Å, b = 4.0995 Å, c = 4.0995 Å
α = 90.00°, β = 90.00°, γ = 90.00°
Positions (direct):
Zr1 0.0000 0.0000 0.0000
Rh1 0.0000 0.5000 0.5000
Rh2 0.5000 0.0000 0.5000
Rh3 0.5000 0.5000 0.0000
O1 0.5000 0.5000 0.5000

Formation energy (no corrections) ... -0.428 eV/atom
Space group ... Pm-3m
D(E_F) ... 2.09 states/eV/f.u.

No. 2
Material: NaOsRh3
Method: DFT, meta-GGA SCAN
State: single point on PBEsol structure

a = 4.2599 Å, b = 4.2599 Å, c = 4.2599 Å
α = 90.00°, β = 90.00°, γ = 90.00°
Positions (direct):
Na1 0.0000 0.0000 0.0000
Os1 0.5000 0.5000 0.5000
Rh1 0.0000 0.0000 0.5000
Rh2 0.0000 0.5000 0.0000
Rh3 0.5000 0.0000 0.0000

Space group ... Pm-3m
D(E_F) ... 4.73 states/eV/f.u.
Energy of formation ... 2185 meV per atom

No. 3
Material: InCoO3
Method: DFT, meta-GGA SCAN
State: single point on PBEsol structure

a = 5.2598 Å, b = 7.3095 Å, c = 5.0606 Å
α = 90.00°, β = 90.00°, γ = 90.00°
Positions (direct):
In1 0.0630 0.2500 0.0215
In2 0.4370 0.7500 0.5215
In3 0.5630 0.2500 0.4785
In4 0.9370 0.7500 0.9785
Co1 0.0000 0.0000 0.5000
Co2 0.0000 0.5000 0.5000
Co3 0.5000 0.0000 0.0000
Co4 0.5000 0.5000 0.0000
O1 0.0481 0.7500 0.3828
O2 0.2027 0.5627 0.8013
O3 0.2027 0.9373 0.8013
O4 0.2973 0.0627 0.3013
O5 0.2973 0.4373 0.3013
O6 0.4519 0.2500 0.8828
O7 0.5481 0.7500 0.1172
O8 0.7027 0.5627 0.6987
O9 0.7027 0.9373 0.6987
O10 0.7973 0.0627 0.1987
O11 0.7973 0.4373 0.1987
O12 0.9519 0.2500 0.6172

Formation energy (no corrections) ... -1.573 eV/atom
Space group ... Pnma

No. 4
Material: Ni2SbRh
Method: DFT, meta-GGA SCAN
State: single point on PBEsol structure

a = 3.1970 Å, b = 3.1970 Å, c = 5.3385 Å
α = 90.00°, β = 90.00°, γ = 90.00°
Positions (direct):
Ni1 0.0000 0.0000 0.0000
Ni2 0.5000 0.5000 0.2073
Sb1 0.5000 0.5000 0.7397
Rh1 0.0000 0.0000 0.4729

Formation energy (no corrections) ... 0.021 eV/atom
Space group ... P4mm
D(E_F) ... 3.35 states/eV/f.u.

No. 5
Material: LiLaTl2
Method: DFT, meta-GGA SCAN
State: single point on PBEsol structure

a = 3.3775 Å, b = 3.3775 Å, c = 10.4366 Å
α = 90.00°, β = 90.00°, γ = 112.42°
Positions (direct):
Li1 0.0000 0.0000 0.0000
La1 0.5000 0.5000 0.2842
Tl1 0.0000 0.0000 0.5452
Tl2 0.5000 0.5000 0.7893

Space group ... Cmm2
D(E_F) ... 3.29 states/eV/f.u.
Energy of formation ... -77 meV per atom

No. 6
Material: BaBePb2
Method: DFT, meta-GGA SCAN
State: single point on PBEsol structure

a = 6.1203 Å, b = 6.1203 Å, c = 6.1203 Å
α = 134.10°, β = 134.10°, γ = 66.93°
Positions (direct):
Ba1 0.0000 0.0000 0.0000
Be1 0.5000 0.5000 0.0000
Pb1 0.2500 0.7500 0.5000
Pb2 0.7500 0.2500 0.5000

Space group ... I4/mmm
D(E_F) ... 2.64 states/eV/f.u.
Energy of formation ... 201 meV per atom

No. 7
Material: MnV2O6
Method: DFT, meta-GGA SCAN
State: single point on PBEsol structure

a = 4.9504 Å, b = 4.9504 Å, c = 6.5529 Å
α = 112.27°, β = 112.27°, γ = 41.35°
Positions (direct):
Mn1 0.0000 0.0000 0.0000
V1 0.1860 0.1860 0.6454
V2 0.8140 0.8140 0.3546
O1 0.0282 0.0282 0.7160
O2 0.3082 0.3082 0.4365
O3 0.3484 0.3484 0.8909
O4 0.6516 0.6516 0.1091
O5 0.6918 0.6918 0.5635
O6 0.9718 0.9718 0.2840

Formation energy (no corrections) ... -2.488 eV/atom
Space group ... C2/m

No. 8
Material: BaSe3N
Method: DFT, meta-GGA SCAN
State: single point on PBEsol structure

a = 6.3306 Å, b = 6.3306 Å, c = 6.3306 Å
α = 90.00°, β = 90.00°, γ = 90.00°
Positions (direct):
Ba1 0.0000 0.0000 0.0000
Se1 0.0000 0.0000 0.5000
Se2 0.0000 0.5000 0.0000
Se3 0.5000 0.0000 0.0000
N1 0.5000 0.5000 0.5000

Formation energy (no corrections) ... 1.008 eV/atom
Space group ... Pm-3m
D(E_F) ... 3.32 states/eV/f.u.

No. 9
Material: MgAlZn2
Method: DFT, meta-GGA SCAN
State: single point on PBEsol structure

a = 2.8656 Å, b = 2.8656 Å, c = 7.9109 Å
α = 90.00°, β = 90.00°, γ = 90.00°
Positions (direct):
Mg1 0.0000 0.0000 0.0000
Al1 0.0000 0.0000 0.5000
Zn1 0.5000 0.5000 0.2613
Zn2 0.5000 0.5000 0.7387

Space group ... P4/mmm
D(E_F) ... 1.45 states/eV/f.u.
Energy of formation ... -41 meV per atom

No. 10
Material: CdMo2Se
Method: DFT, meta-GGA SCAN
State: single point on PBEsol structure

a = 5.3170 Å, b = 5.3170 Å, c = 5.3170 Å
α = 137.37°, β = 137.37°, γ = 61.86°
Positions (direct):
Cd1 0.0000 0.0000 0.0000
Mo1 0.2500 0.7500 0.5000
Mo2 0.7500 0.2500 0.5000
Se1 0.5000 0.5000 0.0000

Formation energy (no corrections) ... 0.787 eV/atom
Space group ... I4/mmm
D(E_F) ... 3.50 states/eV/f.u.

No. 11
Material: BeZnFe2
Method: DFT, meta-GGA SCAN
State: single point on PBEsol structure

a = 8.1096 Å, b = 8.1096 Å, c = 8.1096 Å
α = 17.51°, β = 17.51°, γ = 17.51°
Positions (direct):
Be1 0.0000 0.0000 0.0000
Zn1 0.5000 0.5000 0.5000
Fe1 0.2563 0.2563 0.2563
Fe2 0.7437 0.7437 0.7437

Space group ... R-3m
D(E_F) ... 2.26 states/eV/f.u.
Energy of formation ... 34 meV per atom

No. 12
Material: MgH10Se2O10
Method: DFT, meta-GGA SCAN
State: single point on PBEsol structure

a = 8.1409 Å, b = 8.1409 Å, c = 11.0185 Å
α = 123.11°, β = 123.11°, γ = 54.47°
Positions (direct):
Mg1 0.0418 0.9582 0.7500
Mg2 0.9582 0.0418 0.2500
H1 0.0453 0.6016 0.7842
H2 0.2456 0.6252 0.1662
H3 0.2470 0.4014 0.9397
H4 0.2550 0.2841 0.0245
H5 0.2841 0.2550 0.5245
H6 0.3298 0.5485 0.6633
H7 0.3748 0.7544 0.3338
H8 0.3984 0.9547 0.7158
H9 0.4014 0.2470 0.4397
H10 0.4515 0.6702 0.8367
H11 0.5485 0.3298 0.1633
H12 0.5986 0.7530 0.5603
H13 0.6016 0.0453 0.2842
H14 0.6252 0.2456 0.6662
H15 0.6702 0.4515 0.3367
H16 0.7159 0.7450 0.4755
H17 0.7450 0.7159 0.9755
H18 0.7530 0.5986 0.0603
H19 0.7544 0.3748 0.8338
H20 0.9547 0.3984 0.2158
Se1 0.0032 0.2682 0.6136
Se2 0.2682 0.0032 0.1136
Se3 0.7318 0.9968 0.8864
Se4 0.9968 0.7318 0.3864
O1 0.0597 0.1602 0.1827
O2 0.1049 0.1883 0.4822
O3 0.1374 0.4386 0.7728
O4 0.1602 0.0597 0.6827
O5 0.1883 0.1049 0.9822
O6 0.2299 0.7701 0.2500
O7 0.3046 0.3867 0.0418
O8 0.3108 0.6892 0.7500
O9 0.3867 0.3046 0.5418
O10 0.4386 0.1374 0.2728
O11 0.5614 0.8626 0.7272
O12 0.6133 0.6954 0.4582
O13 0.6892 0.3108 0.2500
O14 0.6954 0.6133 0.9582
O15 0.7701 0.2299 0.7500
O16 0.8117 0.8951 0.0178
O17 0.8398 0.9403 0.3173
O18 0.8626 0.5614 0.2272
O19 0.8951 0.8117 0.5178
O20 0.9403 0.8398 0.8173

Space group ... C2/c
D(E_F) ... 0.00 states/eV/f.u.

No. 13
Material: CrOs2Se
Method: DFT, meta-GGA SCAN
State: single point on PBEsol structure

a = 4.4653 Å, b = 4.4653 Å, c = 4.4653 Å
α = 126.42°, β = 126.42°, γ = 79.20°
Positions (direct):
Cr1 0.0000 0.0000 0.0000
Os1 0.2500 0.7500 0.5000
Os2 0.7500 0.2500 0.5000
Se1 0.5000 0.5000 0.0000

Formation energy (no corrections) ... 0.538 eV/atom
Space group ... I4/mmm
D(E_F) ... 2.32 states/eV/f.u.

No. 14
Material: KCoBiCl2
Method: DFT, meta-GGA SCAN
State: single point on PBEsol structure

a = 5.7044 Å, b = 5.7044 Å, c = 4.8442 Å
α = 90.00°, β = 90.00°, γ = 90.00°
Positions (direct):
K1 0.0000 0.0000 0.0000
Co1 0.5000 0.5000 0.0000
Bi1 0.5000 0.5000 0.5000
Cl1 0.0000 0.5000 0.5000
Cl2 0.5000 0.0000 0.5000

Formation energy (no corrections) ... -0.426 eV/atom
Space group ... P4/mmm
D(E_F) ... 1.90 states/eV/f.u.

No. 15
Material: LaAl2Re
Method: DFT, meta-GGA SCAN
State: single point on PBEsol structure

a = 4.7292 Å, b = 4.7292 Å, c = 4.7292 Å
α = 60.00°, β = 60.00°, γ = 60.00°
Positions (direct):
La1 0.0000 0.0000 0.0000
Al1 0.2500 0.2500 0.2500
Al2 0.7500 0.7500 0.7500
Re1 0.5000 0.5000 0.5000

Space group ... Fm-3m
D(E_F) ... 3.89 states/eV/f.u.
Energy of formation ... 119 meV per atom

No. 16
Material: TaZn2Mo
Method: DFT, meta-GGA SCAN
State: single point on PBEsol structure

a = 2.6918 Å, b = 2.6918 Å, c = 8.2500 Å
α = 90.00°, β = 90.00°, γ = 90.28°
Positions (direct):
Ta1 0.0000 0.0000 0.0000
Zn1 0.5000 0.5000 0.2553
Zn2 0.5000 0.5000 0.7447
Mo1 0.0000 0.0000 0.5000

Space group ... Cmmm
D(E_F) ... 1.07 states/eV/f.u.
Energy of formation ... 35 meV per atom

No. 17
Material: La2AsH
Method: DFT, meta-GGA SCAN
State: single point on PBEsol structure

a = 6.1658 Å, b = 6.1658 Å, c = 6.1658 Å
α = 109.46°, β = 109.46°, γ = 109.50°
Positions (direct):
La1 0.0601 0.6250 0.9351
La2 0.3750 0.3101 0.4351
La3 0.6899 0.1250 0.0649
La4 0.8750 0.9399 0.5649
As1 0.2500 0.7500 0.5000
As2 0.5000 0.5000 0.0000
H1 0.0000 0.0000 0.0000
H2 0.7500 0.2500 0.5000

Space group ... I-42d
D(E_F) ... 1.61 states/eV/f.u.

No. 18
Material: YZnHg
Method: DFT, meta-GGA SCAN
State: single point on PBEsol structure

a = 4.5916 Å, b = 4.5916 Å, c = 3.4676 Å
α = 90.00°, β = 90.00°, γ = 120.00°
Positions (direct):
Y1 0.0000 0.0000 0.0000
Zn1 0.3333 0.6667 0.5000
Hg1 0.6667 0.3333 0.5000

Space group ... P-6m2
D(E_F) ... 1.33 states/eV/f.u.
Energy of formation ... -627 meV per atom

No. 19
Material: InAs2PbO8
Method: DFT, meta-GGA SCAN
State: single point on PBEsol structure

a = 4.9940 Å, b = 8.4974 Å, c = 16.0025 Å
α = 90.00°, β = 106.46°, γ = 90.00°
Positions (direct):
In1 0.2112 0.0479 0.3633
In2 0.2112 0.4521 0.8633
In3 0.7888 0.5479 0.1367
In4 0.7888 0.9521 0.6367
As1 0.1693 0.7106 0.0115
As2 0.1693 0.7894 0.5115
As3 0.4202 0.7410 0.2629
As4 0.4202 0.7590 0.7629
As5 0.5798 0.2410 0.2371
As6 0.5798 0.2590 0.7371
As7 0.8307 0.2106 0.4885
As8 0.8307 0.2894 0.9885
Pb1 0.2694 0.0203 0.8778
Pb2 0.2694 0.4797 0.3778
Pb3 0.7306 0.5203 0.6222
Pb4 0.7306 0.9797 0.1222
O1 0.0686 0.6666 0.9033
O2 0.0686 0.8334 0.4033
O3 0.0923 0.2382 0.4379
O4 0.0923 0.2618 0.9379
O5 0.1861 0.5867 0.2309
O6 0.1861 0.9133 0.7309
O7 0.2530 0.5813 0.7507
O8 0.2530 0.9187 0.2507
O9 0.3253 0.6039 0.5172
O10 0.3253 0.8961 0.0172
O11 0.3591 0.2448 0.8028
O12 0.3591 0.2552 0.3028
O13 0.3639 0.5554 0.0614
O14 0.3639 0.9446 0.5614
O15 0.4253 0.1779 0.1332
O16 0.4253 0.3221 0.6332
O17 0.5747 0.6779 0.3668
O18 0.5747 0.8221 0.8668
O19 0.6361 0.0554 0.4386
O20 0.6361 0.4446 0.9386
O21 0.6409 0.7448 0.6972
O22 0.6409 0.7552 0.1972
O23 0.6747 0.1039 0.9828
O24 0.6747 0.3961 0.4828
O25 0.7470 0.0813 0.7493
O26 0.7470 0.4187 0.2493
O27 0.8139 0.0867 0.2691
O28 0.8139 0.4133 0.7691
O29 0.9077 0.7382 0.0621
O30 0.9077 0.7618 0.5621
O31 0.9314 0.1666 0.5967
O32 0.9314 0.3334 0.0967

Formation energy (no corrections) ... -1.333 eV/atom
Space group ... P2_1/c
D(E_F) ... 2.47 states/eV/f.u.

No. 20
Material: SiSbTe2Br
Method: DFT, meta-GGA SCAN
State: single point on PBEsol structure

a = 5.3882 Å, b = 5.3882 Å, c = 5.4791 Å
α = 90.00°, β = 90.00°, γ = 90.00°
Positions (direct):
Si1 0.0000 0.0000 0.0000
Sb1 0.5000 0.5000 0.0000
Te1 0.0000 0.5000 0.5000
Te2 0.5000 0.0000 0.5000
Br1 0.5000 0.5000 0.5000

Formation energy (no corrections) ... 1.308 eV/atom
Space group ... P4/mmm
D(E_F) ... 4.96 states/eV/f.u.

Number 1: size of the total moment 0.00 μB/f.u., E -28.077 eV/atom. Number 2: size of the total moment 4.04 μB/f.u., E -33.297 eV/atom. Number 3: size of the total moment 0.00 μB/f.u., E -15.450 eV/atom. Number 4: size of the total moment 1.25 μB/f.u., E -25.824 eV/atom. Number 5: size of the total moment 0.00 μB/f.u., E -47.629 eV/atom. Number 6: size of the total moment 0.00 μB/f.u., E -48.666 eV/atom. Number 7: size of the total moment 5.00 μB/f.u., E -12.557 eV/atom. Number 8: size of the total moment 7.00 μB/f.u., E -20.807 eV/atom. Number 9: size of the total moment 0.00 μB/f.u., E -9.980 eV/atom. Number 10: size of the total moment 0.00 μB/f.u., E -29.279 eV/atom. Number 11: size of the total moment 4.23 μB/f.u., E -13.498 eV/atom. Number 12: size of the total moment 0.00 μB/f.u., E -7.380 eV/atom. Number 13: size of the total moment 2.09 μB/f.u., E -45.017 eV/atom. Number 14: size of the total moment 1.78 μB/f.u., E -24.460 eV/atom. Number 15: size of the total moment 0.01 μB/f.u., E -32.308 eV/atom. Number 16: size of the total moment 0.00 μB/f.u., E -32.090 eV/atom. Number 17: size of the total moment 0.00 μB/f.u., E -28.447 eV/atom. Number 18: size of the total moment 0.00 μB/f.u., E -37.135 eV/atom. Number 19: size of the total moment 0.00 μB/f.u., E -17.949 eV/atom. Number 20: size of the total moment 0.00 μB/f.u., E -26.940 eV/atom.